An optimized crystal structure of PuVCu2O6, computed with PBE with a Hubbard U.

a = 10.822 Å, b = 8.406 Å, c = 5.278 Å
α = 90.00°, β = 100.56°, γ = 90.00°
Space group C2/c (No. 15)
Unique sites:
Pu: 0.000 0.150 0.250 x4
V: 0.000 0.403 0.750 x4
Cu: 0.231 0.121 0.798 x8
O: 0.092 0.405 0.104 x8
O: 0.109 0.274 0.638 x8
O: 0.120 0.038 0.024 x8

size of the total moment = 12.0 Bohr magnetons per cell
ρ = 7.290 g/cm³
electronic total energy = -304.82 eV for the cell shown